Record 1
Entry from Alexandria: FeCu2Pt after structural relaxation (PBE).

Results
Energy of formation from the pure elements, eV per atom: -0.054

Cell and atoms, written as extended XYZ:
```
4
Lattice="-1.159 2.381 -0.564 -1.155 0.018 2.449 5.663 3.385 2.646" Properties=species:S:1:pos:R:3 pbc="T T T"
Fe 2.770 1.656 1.294
Cu 0.080 0.048 0.038
Cu 0.248 2.039 1.599
Pt 3.082 3.733 2.923
```

Record 2
Entry from Alexandria: LiSi2Cl after structural relaxation (PBE).

Results
Formation energy (no corrections), meV per atom: -667

Cell and atoms, written as extended XYZ:
```
8
Lattice="-2.063 2.996 -1.134 -0.874 -1.796 3.244 7.707 7.708 6.345" Properties=species:S:1:pos:R:3 pbc="T T T"
Li 3.460 4.533 5.679
Si 3.546 3.547 2.919
Li 6.497 6.498 5.348
Cl 4.036 7.102 5.020
Si -0.106 2.960 1.610
Si 1.365 4.430 2.821
Cl 6.148 7.220 7.892
Si -0.173 0.899 2.688
```

Record 3
Entry from Alexandria: BaTcIr after structural relaxation (PBE).

Results
Energy of formation from the pure elements, eV per atom: 0.204

Cell and atoms, written as extended XYZ:
```
6
Lattice="-3.839 -3.944 2.927 3.512 -1.825 2.147 -1.252 2.675 4.322" Properties=species:S:1:pos:R:3 pbc="T T T"
Tc -0.015 1.372 5.313
Ba -0.784 -1.837 3.844
Tc 2.959 -1.210 2.975
Ba -0.110 -1.944 7.371
Ir -2.877 -3.431 5.913
Ir 1.983 -0.351 5.302
```

Record 4
Entry from Alexandria: Np2TlHgCl8 after structural relaxation (PBE).

Results
Formation energy (no corrections), meV per atom: -1326

Cell and atoms, written as extended XYZ:
```
12
Lattice="7.811 0.000 0.000 -3.906 6.765 0.000 0.000 0.000 7.407" Properties=species:S:1:pos:R:3 pbc="T T T"
Np 0.000 4.510 6.872
Cl -1.202 2.745 1.243
Cl 1.776 2.414 6.165
Cl 0.000 4.510 4.310
Cl 4.833 0.332 6.165
Hg 0.000 0.000 0.000
Tl 0.000 0.000 3.704
Cl 5.108 4.019 6.165
Cl 3.906 2.255 3.098
Np 3.906 2.255 0.536
Cl 2.129 4.351 1.243
Cl -0.927 6.433 1.243
```

Number 1: ρ 12.05 g/cm³. Number 2: ρ 2.06 g/cm³. Number 3: ρ 9.89 g/cm³. Number 4: ρ 4.93 g/cm³.